No. 1
## Sc2AuC (PBE)

Data for a relaxed structure of Sc2AuC.

Values from the calculation:
Total DFT energy (no corrections)   -0.243 Ha/atom
Energy of formation   -0.31 eV per atom
Crystal system   trigonal
Symmetry   R-3m (166)
Total magnetic moment   0.000 μB per atom

Cell: 8.2250 8.2250 8.2250 Å, 22.96 22.96 22.96°
With the nearest neighbours (Å) after each atom.
Fractional coordinates of all 4 atoms:
Sc1 0.1163 0.1163 0.1163  3 C 2.24
Sc2 0.8837 0.8837 0.8837  3 C 2.24
Au1 0.0000 0.0000 0.0000  2 Sc 2.79
C1 0.5000 0.5000 0.5000  6 Sc 2.24

No. 2
## ScAuC (PBE)

Data for a relaxed structure of ScAuC.

Values from the calculation:
Total DFT energy (no corrections)   -0.243 Ha/atom
Energy of formation   -0.34 eV per atom
Crystal system   triclinic
Symmetry   P-1 (2)
Total magnetic moment   0.000 μB per atom

Cell: 3.4185 3.5953 7.3499 Å, 84.85 80.18 83.45°
With the nearest neighbours (Å) after each atom.
Fractional coordinates of all 6 atoms:
Sc1 0.1517 0.2103 0.3256  4 C 2.28-2.48
Sc2 0.8483 0.7897 0.6744  4 C 2.28-2.48
Au1 0.2837 0.2652 0.8957  1 C 2.55, 2 Au 2.77-2.79, 2 Sc 2.82-2.84
Au2 0.7163 0.7348 0.1043  1 C 2.55, 2 Au 2.77-2.79, 2 Sc 2.82-2.84
C1 0.4334 0.6568 0.4475  1 C 1.39
C2 0.5666 0.3432 0.5525  1 C 1.39

No. 3
## ScAuC (PBE)

Data for a relaxed structure of ScAuC.

Values from the calculation:
Total DFT energy (no corrections)   -0.229 Ha/atom
Energy of formation   0.05 eV per atom
Crystal system   orthorhombic
Symmetry   Imma (74)
Total magnetic moment   0.000 μB per atom

Cell: 5.6674 5.6674 5.6674 Å, 105.71 83.84 146.78°
With the nearest neighbours (Å) after each atom.
Fractional coordinates of all 6 atoms:
Sc1 0.5000 0.0000 0.0000  4 C 2.34-2.37
Sc2 0.5000 0.5000 0.5000  4 C 2.34-2.37
Au1 0.0000 0.0000 0.0000  2 C 2.25
Au2 0.5000 0.0000 0.5000  2 C 2.25
C1 0.0064 0.7564 0.2500  2 Au 2.25, 4 Sc 2.34-2.37
C2 0.9936 0.2436 0.7500  2 Au 2.25, 4 Sc 2.34-2.37

No. 4
## Sc3AuC (PBE)

Data for a relaxed structure of Sc3AuC.

Values from the calculation:
Total DFT energy (no corrections)   -0.253 Ha/atom
Energy of formation   -0.59 eV per atom
Crystal system   monoclinic
Symmetry   P2_1/c (14)
Distance to the lowest polymorph of the same formula   70 meV per atom
Total magnetic moment   0.000 μB per atom

Cell: 8.1829 5.8382 8.4190 Å, 90.00 114.10 90.00°
With the nearest neighbours (Å) after each atom.
Fractional coordinates of all 20 atoms:
Sc1 0.0711 0.0695 0.3576  3 C 2.31-2.38
Sc2 0.0711 0.4305 0.8576  3 C 2.31-2.38
Sc3 0.1914 0.5811 0.5504  2 C 2.28-2.30
Sc4 0.1914 0.9189 0.0504  2 C 2.28-2.30
Sc5 0.3577 0.1237 0.7635  1 C 2.23
Sc6 0.3577 0.3763 0.2635  1 C 2.23
Sc7 0.6423 0.6237 0.7365  1 C 2.23
Sc8 0.6423 0.8763 0.2365  1 C 2.23
Sc9 0.8086 0.0811 0.9496  2 C 2.28-2.30
Sc10 0.8086 0.4189 0.4496  2 C 2.28-2.30
Sc11 0.9289 0.5695 0.1424  3 C 2.31-2.38
Sc12 0.9289 0.9305 0.6424  3 C 2.31-2.38
Au1 0.3958 0.6833 0.9022  6 Sc 2.79-2.94, 1 Au 2.81
Au2 0.3958 0.8167 0.4022  6 Sc 2.79-2.94, 1 Au 2.81
Au3 0.6042 0.1833 0.5978  6 Sc 2.79-2.94, 1 Au 2.81
Au4 0.6042 0.3167 0.0978  6 Sc 2.79-2.94, 1 Au 2.81
C1 0.0802 0.2484 0.6077  6 Sc 2.23-2.38
C2 0.0802 0.2516 0.1077  6 Sc 2.23-2.38
C3 0.9198 0.7484 0.8923  6 Sc 2.23-2.38
C4 0.9198 0.7516 0.3923  6 Sc 2.23-2.38

No. 5
## ScAuC (PBE)

Data for a relaxed structure of ScAuC.

Values from the calculation:
Total DFT energy (no corrections)   -0.235 Ha/atom
Energy of formation   -0.10 eV per atom
Crystal system   orthorhombic
Symmetry   Pnma (62)
Total magnetic moment   0.000 μB per atom

Cell: 8.5832 3.4818 5.9021 Å, 90.00 90.00 90.00°
With the nearest neighbours (Å) after each atom.
Fractional coordinates of all 12 atoms:
Sc1 0.1415 0.2500 0.1074  4 C 2.28-2.44
Sc2 0.3585 0.7500 0.6074  4 C 2.28-2.44
Sc3 0.6415 0.2500 0.3926  4 C 2.28-2.44
Sc4 0.8585 0.7500 0.8926  4 C 2.28-2.44
Au1 0.0766 0.2500 0.6322  2 C 2.26
Au2 0.4234 0.7500 0.1322  2 C 2.26
Au3 0.5766 0.2500 0.8678  2 C 2.26
Au4 0.9234 0.7500 0.3678  2 C 2.26
C1 0.1416 0.7500 0.8569  2 Au 2.26, 4 Sc 2.28-2.44
C2 0.3584 0.2500 0.3569  2 Au 2.26, 4 Sc 2.28-2.44
C3 0.6416 0.7500 0.6431  2 Au 2.26, 4 Sc 2.28-2.44
C4 0.8584 0.2500 0.1431  2 Au 2.26, 4 Sc 2.28-2.44

No. 6
## Sc4AuC2 (PBE)

Data for a relaxed structure of Sc4AuC2.

Values from the calculation:
Total DFT energy (no corrections)   -0.266 Ha/atom
Energy of formation   -0.52 eV per atom
Crystal system   orthorhombic
Symmetry   Cmcm (63)
Total magnetic moment   0.165 μB per atom

Cell: 5.9195 5.9195 12.1231 Å, 90.00 90.00 146.44°
With the nearest neighbours (Å) after each atom.
Fractional coordinates of all 14 atoms:
Sc1 0.0000 0.0000 0.0000  4 C 2.41
Sc2 0.0000 0.0000 0.5000  4 C 2.41
Sc3 0.2614 0.7386 0.6007  3 C 2.29-2.30
Sc4 0.2614 0.7386 0.8993  3 C 2.29-2.30
Sc5 0.4206 0.5794 0.2500  2 C 2.36
Sc6 0.5794 0.4206 0.7500  2 C 2.36
Sc7 0.7386 0.2614 0.1007  3 C 2.29-2.30
Sc8 0.7386 0.2614 0.3993  3 C 2.29-2.30
Au1 0.1136 0.8864 0.2500  6 Sc 2.78-2.86
Au2 0.8864 0.1136 0.7500  6 Sc 2.78-2.86
C1 0.3659 0.6341 0.0619  6 Sc 2.29-2.41
C2 0.3659 0.6341 0.4381  6 Sc 2.29-2.41
C3 0.6341 0.3659 0.5619  6 Sc 2.29-2.41
C4 0.6341 0.3659 0.9381  6 Sc 2.29-2.41